Material: Ni4IrPt
Method: DFT, PBE
State: optimized geometry

extended XYZ file:
```
12
Lattice="6.519 0.296 -2.154 -0.372 6.125 -3.123 -1.333 -2.063 5.473" Properties=species:S:1:pos:R:3 pbc="T T T"
Ni 2.500 1.203 -0.663
Ni 6.166 5.349 -4.624
Ni 5.044 1.171 -0.503
Ni 2.516 -0.907 2.811
Ni 2.314 3.155 0.859
Ni 2.298 5.264 -2.615
Ni -0.229 3.187 0.699
Ni -1.351 -0.992 4.819
Pt 3.730 3.390 -1.442
Pt 1.085 0.967 1.638
Ir 1.068 3.207 -1.496
Ir 3.746 1.151 1.692
```

Results
E = -74.26 eV per cell
ΔH_f (0 K) = 0.150 eV per atom
size of the total moment = 0.557 μB/atom
V = 159.1 Å³ per cell
SG = No. 2

***

Material: Ni5IrPt4
Method: DFT, PBE
State: optimized geometry

extended XYZ file:
```
10
Lattice="2.702 0.000 0.000 0.000 2.702 0.000 0.000 0.000 18.197" Properties=species:S:1:pos:R:3 pbc="T T T"
Pt 0.000 0.000 7.263
Pt 0.000 0.000 14.604
Pt 0.000 0.000 3.593
Pt 0.000 0.000 10.934
Ni 1.351 1.351 5.432
Ni 1.351 1.351 16.458
Ni 1.351 1.351 9.098
Ni 1.351 1.351 12.765
Ni 1.351 1.351 1.739
Ir 0.000 0.000 0.000
```

Results
E = -62.72 eV per cell
ΔH_f (0 K) = -0.079 eV per atom
size of the total moment = 0.281 μB/atom
V = 132.8 Å³ per cell
SG = No. 123

***

The highest E belongs to which entry?
Ni5IrPt4

***

The highest ΔH_f (0 K) belongs to which entry?
Ni4IrPt